A plane-wave DFT calculation with GGA+U was carried out for crystalline Mn2Te2O7 at its relaxed geometry.

Lattice parameters (Å, degrees): 6.962 8.536 5.514 90.00 96.04 90.00
Space group Cm (No. 8)
One atom of each set of equivalent atoms:
Mn1 0.000 0.199 0.000 x4
Te1 0.221 0.500 0.374 x2
Te2 0.259 0.000 0.570 x2
O1 0.054 0.000 0.307 x2
O2 0.065 0.000 0.798 x2
O3 0.232 0.334 0.145 x4
O4 0.367 0.189 0.685 x4
O5 0.432 0.000 0.300 x2

ρ (g cm⁻³): 4.86
Crystal system: monoclinic
Total DFT energy (no corrections) (eV per atom): -6.35